Density functional theory data (meta-GGA SCAN) for a crystal of Mg2ReW relaxed with PBEsol.

Results
**Volume**: 16.3 Å³/atom
**Electronic total energy**: -37.251 eV/atom
**DFT formation energy**: 432 meV/atom
**Space group**: No. 166

Geometry as extended XYZ:
```
4
Lattice="2.8046 0.0000 0.0000 1.4023 2.4288 0.0000 1.4023 0.8096 9.5423" Properties=species:S:1:pos:R:3 pbc="T T T"
Mg 4.2069 2.4288 7.1085
Mg 1.4023 0.8096 2.4338
Re 2.8046 1.6192 4.7711
W 0.0000 0.0000 0.0000
```

Density functional theory data (meta-GGA SCAN) for a crystal of Te2P6Os relaxed with PBEsol.

Results
**Raw formation energy**: 0.506 eV/atom
**Volume**: 18.5 Å³/atom
**Electronic total energy**: -22.691 eV/atom
**Space group**: No. 189

Geometry as extended XYZ:
```
9
Lattice="-1.8225 -2.7336 1.9211 4.8335 0.4285 5.1952 -5.8356 4.0532 0.2313" Properties=species:S:1:pos:R:3 pbc="T T T"
Te 1.2771 1.6367 3.5406
Te -2.2792 2.8450 1.8859
P -4.7097 1.2715 1.1111
P 2.2349 -1.0879 4.3422
P 1.0755 0.0953 1.1560
P -1.2611 0.1977 2.8548
P -1.2985 0.9019 0.0515
P -0.7791 3.4844 4.2190
Os -0.9113 -1.3668 0.9605
```

- Which formula does entry 2 have?
  Te2P6Os

- Among the records above, which one has the lowest volume?
  Mg2ReW

- Which of these has the highest volume?
  Te2P6Os

- Look up the electronic total energy of the second one.
  -22.691 eV/atom